MgAg2Mo (PBE, relaxed); DFT formation energy = 0.2803 eV per atom
1.0
-0.3296 -5.6680 7.9764
1.5125 -7.2395 6.4155
2.4834 -5.0477 8.0132
Mo Ag Mg
1 2 1
direct
0.7500 0.7500 0.7500
0.9996 0.9996 0.9996
0.5004 0.5004 0.5004
0.2500 0.2500 0.2500